No. 1
# Ho3BeB2Pt9

Ho3BeB2Pt9 after structural relaxation (PBE, the Alexandria database).

```
Ho3BeB2Pt9
1.0
5.694 0.000 0.000
-2.847 4.931 0.000
0.000 0.000 8.953
Ho Be B Pt
3 1 2 9
Direct
0.333 0.667 0.601 Ho
0.000 0.000 0.000 Ho
0.667 0.333 0.399 Ho
0.000 0.000 0.500 Be
0.333 0.667 0.157 B
0.667 0.333 0.843 B
0.837 0.163 0.699 Pt
0.837 0.675 0.699 Pt
0.325 0.163 0.699 Pt
0.675 0.837 0.301 Pt
0.163 0.325 0.301 Pt
0.163 0.837 0.301 Pt
0.500 0.000 0.000 Pt
0.000 0.500 0.000 Pt
0.500 0.500 0.000 Pt
```

Summary:
Size of the total moment ... 0.0 μB per formula unit
ΔH_f (0 K) ... -13.36 eV/f.u.
Total energy ... -0.241 hartree per atom

No. 2
# Ce2ThTc

Ce2ThTc after structural relaxation (PBE, the Alexandria database).

```
Ce2ThTc
1.0
4.687 0.000 0.000
2.344 4.059 0.000
2.344 1.353 5.098
Ce Th Tc
2 1 1
Direct
0.264 0.264 0.208 Ce
0.736 0.736 0.792 Ce
0.500 0.500 0.500 Th
0.000 0.000 0.000 Tc
```

Summary:
Offset from the most stable computed form ... 287 meV/atom
Size of the total moment ... 0.0 μB per formula unit
ΔH_f (0 K) ... 0.82 eV/f.u.
Total energy ... -0.265 hartree per atom

No. 3
# Rb6PbSe4

Rb6PbSe4 after structural relaxation (PBE, the Alexandria database).

```
Rb6PbSe4
1.0
-4.179 5.632 -4.770
6.607 -2.428 -8.654
-9.463 -5.697 1.563
Rb Pb Se
12 2 8
Direct
0.461 0.707 0.853 Rb
0.461 0.147 0.293 Rb
0.461 0.147 0.853 Rb
0.961 0.293 0.147 Rb
0.961 0.853 0.707 Rb
0.961 0.853 0.147 Rb
0.628 0.938 0.469 Rb
0.628 0.531 0.062 Rb
0.628 0.531 0.469 Rb
0.128 0.062 0.531 Rb
0.128 0.469 0.938 Rb
0.128 0.469 0.531 Rb
0.749 0.333 0.667 Pb
0.249 0.667 0.333 Pb
0.400 0.333 0.667 Se
0.900 0.667 0.333 Se
0.858 0.626 0.813 Se
0.858 0.187 0.374 Se
0.858 0.187 0.813 Se
0.358 0.374 0.187 Se
0.358 0.813 0.626 Se
0.358 0.813 0.187 Se
```

Summary:
Raw formation energy ... -23.214 kcal/mol of atoms
Size of the total moment ... 0.0 μB per formula unit
Total energy ... -0.115 hartree per atom

No. 4
# Pb2Au2Cl

Pb2Au2Cl after structural relaxation (PBE, the Alexandria database).

```
Pb2Au2Cl
1.0
3.999 0.000 0.000
0.000 3.999 0.000
1.999 1.999 8.067
Pb Au Cl
2 2 1
Direct
0.391 0.391 0.217 Pb
0.609 0.609 0.783 Pb
0.750 0.250 0.500 Au
0.250 0.750 0.500 Au
0.000 0.000 0.000 Cl
```

Summary:
Raw formation energy ... -5.187 kcal/mol of atoms
Offset from the most stable computed form ... 31 meV/atom
Size of the total moment ... 0.0 μB per formula unit
Total energy ... -0.125 hartree per atom